(1)
Y4CuSN2, relaxed, DFT GGA-PBE; total DFT energy (no corrections) = -7.61 eV/atom; symmetry = P-6m2 (187)
1.0
-1.640 -2.712 1.656
3.373 -0.370 -1.126
4.405 4.489 11.714
Y N Cu S
4 2 1 1
Cartesian
4.580 1.782 7.455
3.775 3.848 10.041
0.629 0.641 1.673
3.229 0.405 3.862
3.404 1.506 9.699
1.063 -0.880 3.472
2.202 2.245 5.857
1.702 -1.151 -0.199

---

(2)
Sm2Y2CI2Br3, relaxed, DFT GGA-PBE; total DFT energy (no corrections) = -5.26 eV/atom; symmetry = C2/m (12)
1.0
-1.222 0.989 9.369
-3.194 -2.312 8.643
7.150 -4.204 -0.298
Sm Br Y I C
2 3 2 2 1
Cartesian
-2.359 -1.104 11.427
5.093 -4.424 6.287
-2.383 -1.878 15.014
1.367 -2.764 8.857
5.117 -3.649 2.700
5.724 -3.373 -0.210
-2.991 -2.155 17.924
0.915 -3.814 14.860
1.819 -1.713 2.854
-2.208 -0.661 9.006

---

(3)
CsTb2O4, relaxed, DFT GGA-PBE; total DFT energy (no corrections) = -6.88 eV/atom; symmetry = Fd-3m (227)
1.0
-4.820 2.147 -4.916
6.313 -2.774 -2.113
-1.268 -5.894 3.958
O Cs Tb
8 2 4
Cartesian
-3.476 -3.925 -0.388
-0.605 -2.303 -3.624
1.822 -5.923 0.915
-1.581 -4.770 1.545
2.320 -3.605 -0.640
-0.994 -5.016 -1.218
-3.087 -1.212 -2.794
-1.083 -2.452 -0.011
0.000 0.000 0.000
2.008 -2.481 -3.054
3.526 -5.575 -0.604
-2.041 -3.114 -2.006
-1.406 -0.167 -3.985
0.370 -4.188 0.452

---

(4)
CsPrBiTe3, relaxed, DFT GGA-PBE; total DFT energy (no corrections) = -4.00 eV/atom; symmetry = Cmcm (63)
1.0
2.319 -9.090 0.000
2.319 9.090 0.000
0.000 0.000 11.918
Te Bi Cs Pr
6 2 2 2
Cartesian
2.319 2.245 11.536
2.319 2.245 6.341
2.319 -2.245 5.577
2.319 -2.245 0.382
2.319 -7.506 2.980
2.319 7.506 8.939
2.319 -0.688 2.980
2.319 0.688 8.939
2.319 4.711 2.980
2.319 -4.711 8.939
0.000 0.000 5.959
0.000 0.000 0.000

---

(5)
CuTcGeTe, relaxed, DFT GGA-PBE; total DFT energy (no corrections) = -4.77 eV/atom; symmetry = F-43m (216)
1.0
0.000 3.258 3.258
3.258 0.000 3.258
3.258 3.258 0.000
Te Ge Cu Tc
1 1 1 1
Cartesian
3.258 3.258 3.258
1.629 1.629 1.629
4.886 4.886 4.886
0.000 0.000 0.000

---

(6)
HoErI3N, relaxed, DFT GGA-PBE; total DFT energy (no corrections) = -5.14 eV/atom; symmetry = C2/m (12)
1.0
-6.953 6.842 -0.418
-6.203 6.228 -4.251
-2.347 -11.722 1.419
I Ho Er N
6 2 2 2
Cartesian
-9.962 2.741 -2.389
-13.202 9.483 -4.103
-12.351 -0.103 -2.401
-2.302 -8.134 0.853
-5.542 -1.392 -0.862
-3.153 1.452 -0.850
-9.755 -3.813 -1.298
-5.749 5.161 -1.952
-13.194 2.865 -3.041
-2.310 -1.516 -0.209
-7.856 5.717 -2.453
-7.648 -4.368 -0.797

---

(7)
NaSmNb, relaxed, DFT GGA-PBE; total DFT energy (no corrections) = -3.86 eV/atom; symmetry = F-43m (216)
1.0
-2.682 3.202 3.032
-3.562 3.121 -2.053
-5.011 -0.871 0.881
Na Nb Sm
1 1 1
Cartesian
-2.814 1.363 0.465
-8.441 4.089 1.395
0.000 0.000 0.000

---

(8)
ZnCdTc2Sb4, relaxed, DFT GGA-PBE; total DFT energy (no corrections) = -4.47 eV/atom; symmetry = I-4 (82)
1.0
-3.121 3.121 6.099
3.121 -3.121 6.099
3.121 3.121 -6.099
Sb Cd Tc Zn
4 1 2 1
Cartesian
-1.344 1.476 4.489
1.476 1.344 7.709
4.465 1.644 -1.610
1.644 1.776 1.610
0.000 0.000 0.000
0.000 0.000 6.099
0.000 3.121 3.050
3.121 0.000 3.050

---

(9)
ZrTe2, relaxed, DFT GGA-PBE; total DFT energy (no corrections) = -5.72 eV/atom; symmetry = R3m (160)
1.0
1.964 1.134 7.038
-1.964 1.134 7.038
0.000 -2.268 7.038
Te Zr
2 1
Cartesian
0.000 0.000 5.186
0.000 0.000 8.925
0.000 0.000 0.008

---

(10)
ErSnTe3Pb, relaxed, DFT GGA-PBE; total DFT energy (no corrections) = -4.13 eV/atom; symmetry = Cmcm (63)
1.0
-7.374 -0.354 -2.917
4.945 -1.667 5.981
-2.348 9.979 4.722
Te Sn Er Pb
6 2 2 2
Cartesian
0.873 8.241 9.291
-1.634 6.330 6.043
1.925 3.773 7.176
-3.143 1.627 1.743
-6.702 4.184 0.610
-5.650 -0.284 -1.505
2.746 5.864 9.206
-7.522 2.093 -1.420
-2.388 3.979 3.893
-1.214 -1.011 1.532
-5.842 6.779 3.003
1.066 1.178 4.783

---

(11)
Hf2InC, relaxed, DFT GGA-PBE; total DFT energy (no corrections) = -8.68 eV/atom; symmetry = P-6m2 (187)
1.0
3.323 0.000 0.000
-1.661 2.877 0.000
0.000 0.000 14.887
In Hf C
2 4 2
Cartesian
1.661 0.959 0.000
0.000 0.000 7.444
0.000 0.000 12.390
0.000 0.000 2.497
1.661 0.959 4.934
1.661 0.959 9.953
0.000 1.918 3.715
0.000 1.918 11.172

---

(12)
NaTmSn, relaxed, DFT GGA-PBE; total DFT energy (no corrections) = -3.23 eV/atom; symmetry = F-43m (216)
1.0
0.000 3.592 3.592
3.592 0.000 3.592
3.592 3.592 0.000
Sn Na Tm
1 1 1
Cartesian
5.388 5.388 5.388
1.796 1.796 1.796
0.000 0.000 0.000

---

(13)
TbGaB, relaxed, DFT GGA-PBE; total DFT energy (no corrections) = -4.92 eV/atom; symmetry = F-43m (216)
1.0
0.000 2.944 2.944
2.944 0.000 2.944
2.944 2.944 0.000
Ga B Tb
1 1 1
Cartesian
1.472 1.472 1.472
0.000 0.000 0.000
4.416 4.416 4.416

---

(14)
Ba3Tb2Cl2O5, relaxed, DFT GGA-PBE; total DFT energy (no corrections) = -6.60 eV/atom; symmetry = I4/mmm (139)
1.0
-2.220 2.220 12.452
2.220 -2.220 12.452
2.220 2.220 -12.452
Tb Cl O Ba
2 2 5 3
Cartesian
0.000 0.000 10.301
0.000 0.000 14.603
0.000 0.000 17.592
0.000 0.000 7.312
0.000 2.220 2.450
2.220 0.000 10.002
0.000 2.220 10.002
2.220 0.000 2.450
0.000 0.000 12.452
0.000 0.000 4.075
0.000 0.000 0.000
0.000 0.000 20.830

---

(15)
BaCuBi, relaxed, DFT GGA-PBE; total DFT energy (no corrections) = -3.56 eV/atom; symmetry = P-62m (189)
1.0
-1.464 1.919 7.658
-4.681 -5.324 -3.770
2.860 -3.528 1.431
Bi Cu Ba
3 3 3
Cartesian
0.144 -3.227 -0.321
1.028 -1.236 2.820
-3.027 -4.233 3.535
-2.179 -4.674 0.755
-1.107 -2.259 4.564
0.000 0.000 0.000
-2.852 -3.244 -2.297
-0.892 1.169 4.666
-2.401 -1.331 1.519

---

(16)
Lu2Fe17, relaxed, DFT GGA-PBE; formation energy = -0.71 kcal/mol of atoms; symmetry = P6_3/mmc (194)
1.0
-5.557 -6.158 -0.300
8.002 -1.551 -1.566
1.263 -1.529 7.970
Fe Lu
34 4
Cartesian
0.735 -6.200 -1.185
5.499 -1.630 0.932
0.677 -8.086 4.689
0.089 -5.987 6.391
3.609 -6.202 2.590
1.331 -6.921 2.573
-2.513 -5.331 5.723
6.221 -3.907 0.381
-0.271 -5.551 4.119
-0.799 -3.431 5.816
-2.147 -3.843 3.835
6.409 -3.099 2.742
-3.298 -5.418 -0.396
-1.792 -7.607 5.172
1.222 -3.855 -0.933
3.978 -3.687 1.985
1.854 -4.619 3.052
2.143 -5.349 0.750
-2.779 -3.079 -0.150
3.030 -1.152 1.415
2.972 -3.038 7.289
0.099 -3.036 3.513
4.506 -5.807 0.288
4.204 -6.923 6.349
2.319 -6.268 4.778
3.618 -3.251 -0.288
-0.497 -2.315 -0.245
2.377 -2.317 3.531
-2.702 -6.138 3.362
4.001 -0.776 -0.783
1.389 -2.970 1.326
7.005 -3.820 6.500
4.632 -1.540 3.202
1.564 -3.889 5.353
-0.722 -5.004 1.270
0.947 -1.147 5.977
4.429 -4.234 4.833
0.316 -0.382 1.992

---

(17)
LiTcB, relaxed, DFT GGA-PBE; total DFT energy (no corrections) = -6.17 eV/atom; symmetry = F-43m (216)
1.0
0.623 1.084 3.361
0.576 3.472 0.686
-2.473 1.915 1.753
Tc Li B
1 1 1
Cartesian
-0.956 4.853 4.350
-0.319 1.618 1.450
0.000 0.000 0.000

---

(18)
ZnAgSeO, relaxed, DFT GGA-PBE; total DFT energy (no corrections) = -3.20 eV/atom; symmetry = P4/nmm (129)
1.0
-2.334 0.819 2.579
2.118 -1.567 2.414
5.231 9.649 1.671
Zn Se O Ag
2 2 2 2
Cartesian
0.310 0.309 3.896
4.705 8.592 2.769
3.621 3.854 3.291
1.394 5.047 3.374
0.389 0.630 1.390
4.626 8.271 5.275
3.591 6.362 4.944
1.424 2.539 1.721

---

(19)
PrSiTe, relaxed, DFT GGA-PBE; total DFT energy (no corrections) = -4.58 eV/atom; symmetry = F-43m (216)
1.0
0.000 3.644 3.644
3.644 0.000 3.644
3.644 3.644 0.000
Si Te Pr
1 1 1
Cartesian
1.822 1.822 1.822
5.467 5.467 5.467
0.000 0.000 0.000

---

(20)
Be3Co, relaxed, DFT GGA-PBE; total DFT energy (no corrections) = -4.82 eV/atom; symmetry = Pm-3m (221)
1.0
-1.080 3.007 -0.370
-3.030 -1.076 0.097
-0.033 0.381 3.193
Co Be
1 3
Cartesian
0.000 0.000 0.000
-0.556 1.694 1.412
-2.055 0.966 -0.137
-1.531 -0.347 1.645

---

(21)
LiCdCoGe, relaxed, DFT GGA-PBE; total DFT energy (no corrections) = -3.69 eV/atom; symmetry = F-43m (216)
1.0
-3.189 -2.781 0.911
-3.295 1.235 2.521
-3.933 0.582 -1.710
Ge Co Li Cd
1 1 1 1
Cartesian
0.000 0.000 0.000
-7.813 -0.723 1.291
-2.604 -0.241 0.430
-5.209 -0.482 0.861